Record 1
Density functional theory data (PBE) for ErGa2Pb2Au7 after structural relaxation.

CIF file:
```
data_ErGa2Pb2Au7
_symmetry_space_group_name_H-M 'C 1 2/m 1'
_symmetry_Int_Tables_number 12
_cell_length_a 6.361
_cell_length_b 6.054
_cell_length_c 13.794
_cell_angle_alpha 90.00
_cell_angle_beta 96.67
_cell_angle_gamma 90.00
loop_
_symmetry_equiv_pos_as_xyz
'x,y,z'
'-x,-y,-z'
'-x,y,-z'
'x,-y,z'
'x+1/2,y+1/2,z'
'-x+1/2,-y+1/2,-z'
'-x+1/2,y+1/2,-z'
'x+1/2,-y+1/2,z'
loop_
_atom_site_label
_atom_site_fract_x
_atom_site_fract_y
_atom_site_fract_z
_atom_site_occupancy
Er1 0.000 0.000 0.000 1
Ga1 0.062 0.500 0.258 1
Pb1 0.086 0.000 0.362 1
Au1 0.000 0.500 0.000 1
Au2 0.165 0.500 0.443 1
Au3 0.213 0.250 0.849 1
```

Final energy = -88.58 eV for the cell shown
ΔH_f (0 K) = -0.276 eV per atom

Record 2
Density functional theory data (PBE) for ErGa2Pd2Au after structural relaxation.

CIF file:
```
data_ErGa2Pd2Au
_symmetry_space_group_name_H-M 'P -3 m 1'
_symmetry_Int_Tables_number 164
_symmetry_space_group_name_Hall '-P 3 2"'
_cell_length_a 4.4606
_cell_length_b 4.4606
_cell_length_c 6.2189
_cell_angle_alpha 90.00
_cell_angle_beta 90.00
_cell_angle_gamma 120.00
loop_
_atom_site_label
_atom_site_fract_x
_atom_site_fract_y
_atom_site_fract_z
_atom_site_occupancy
Er1 0.0000 0.0000 0.0000 1
Ga1 0.3333 0.6667 0.7175 1
Pd1 0.3333 0.6667 0.2772 1
Au1 0.0000 0.0000 0.5000 1
```

Final energy = -28.37 eV for the cell shown
ΔH_f (0 K) = -0.681 eV per atom

Record 3
Density functional theory data (PBE) for Er2Ga4PdAu3 after structural relaxation.

CIF file:
```
data_Er2Ga4PdAu3
_symmetry_space_group_name_H-M 'P -4 m 2'
_symmetry_Int_Tables_number 115
_cell_length_a 4.195
_cell_length_b 4.195
_cell_length_c 11.089
_cell_angle_alpha 90.00
_cell_angle_beta 90.00
_cell_angle_gamma 90.00
loop_
_symmetry_equiv_pos_as_xyz
'x,y,z'
'y,-x,-z'
'-x,-y,z'
'-y,x,-z'
'-x,y,z'
'-y,-x,-z'
'x,-y,z'
'y,x,-z'
loop_
_atom_site_label
_atom_site_fract_x
_atom_site_fract_y
_atom_site_fract_z
_atom_site_occupancy
Er1 0.000 0.500 0.244 1
Ga1 0.000 0.000 0.500 1
Ga2 0.000 0.500 0.868 1
Ga3 0.500 0.500 0.500 1
Pd1 0.500 0.500 0.000 1
Au1 0.000 0.000 0.000 1
Au2 0.000 0.500 0.644 1
```

Final energy = -42.49 eV for the cell shown
ΔH_f (0 K) = -0.623 eV per atom

Record 4
Density functional theory data (PBE) for Er2Ga4Pd3Au after structural relaxation.

CIF file:
```
data_Er2Ga4Pd3Au
_symmetry_space_group_name_H-M 'P -4 m 2'
_symmetry_Int_Tables_number 115
_cell_length_a 4.059
_cell_length_b 4.059
_cell_length_c 11.393
_cell_angle_alpha 90.00
_cell_angle_beta 90.00
_cell_angle_gamma 90.00
loop_
_symmetry_equiv_pos_as_xyz
'x,y,z'
'y,-x,-z'
'-x,-y,z'
'-y,x,-z'
'-x,y,z'
'-y,-x,-z'
'x,-y,z'
'y,x,-z'
loop_
_atom_site_label
_atom_site_fract_x
_atom_site_fract_y
_atom_site_fract_z
_atom_site_occupancy
Er1 0.000 0.500 0.245 1
Ga1 0.000 0.000 0.000 1
Ga2 0.000 0.500 0.641 1
Ga3 0.500 0.500 0.000 1
Pd1 0.000 0.500 0.857 1
Pd2 0.500 0.500 0.500 1
Au1 0.000 0.000 0.500 1
```

Final energy = -47.27 eV for the cell shown
ΔH_f (0 K) = -0.718 eV per atom

Record 5
Density functional theory data (PBE) for Er2Ga2Pd5Au after structural relaxation.

CIF file:
```
data_Er2Ga2Pd5Au
_symmetry_space_group_name_H-M 'P 4/m b m'
_symmetry_Int_Tables_number 127
_symmetry_space_group_name_Hall '-P 4 2ab'
_cell_length_a 9.719
_cell_length_b 9.719
_cell_length_c 3.782
_cell_angle_alpha 90.00
_cell_angle_beta 90.00
_cell_angle_gamma 90.00
loop_
_atom_site_label
_atom_site_fract_x
_atom_site_fract_y
_atom_site_fract_z
_atom_site_occupancy
Er1 0.178 0.322 0.000 1
Ga1 0.121 0.621 0.000 1
Pd1 0.000 0.500 0.500 1
Pd2 0.066 0.794 0.500 1
Au1 0.000 0.000 0.000 1
```

Final energy = -103.01 eV for the cell shown
ΔH_f (0 K) = -0.708 eV per atom

Record 6
Density functional theory data (PBE) for PmErGaAu after structural relaxation.

CIF file:
```
data_PmErGaAu
_symmetry_space_group_name_H-M 'A m m 2'
_symmetry_Int_Tables_number 38
_cell_length_a 4.566
_cell_length_b 3.822
_cell_length_c 11.298
_cell_angle_alpha 90.00
_cell_angle_beta 90.00
_cell_angle_gamma 90.00
loop_
_symmetry_equiv_pos_as_xyz
'x,y,z'
'-x,-y,z'
'-x,y,z'
'x,-y,z'
'x,y+1/2,z+1/2'
'-x,-y+1/2,z+1/2'
'-x,y+1/2,z+1/2'
'x,-y+1/2,z+1/2'
loop_
_atom_site_label
_atom_site_fract_x
_atom_site_fract_y
_atom_site_fract_z
_atom_site_occupancy
Pm1 0.000 0.000 0.000 1
Er1 0.500 0.000 0.287 1
Ga1 0.000 0.000 0.731 1
Au1 0.500 0.000 0.573 1
```

Final energy = -36.76 eV for the cell shown
ΔH_f (0 K) = -0.691 eV per atom
Distance to the lowest polymorph of the same formula = 0 meV/atom

Record 7
Density functional theory data (PBE) for PmErGaAu after structural relaxation.

CIF file:
```
data_PmErGaAu
_symmetry_space_group_name_H-M 'F -4 3 m'
_symmetry_Int_Tables_number 216
_symmetry_space_group_name_Hall 'F -4 2 3'
_cell_length_a 7.282
_cell_length_b 7.282
_cell_length_c 7.282
_cell_angle_alpha 90.00
_cell_angle_beta 90.00
_cell_angle_gamma 90.00
loop_
_atom_site_label
_atom_site_fract_x
_atom_site_fract_y
_atom_site_fract_z
_atom_site_occupancy
Pm1 0.000 0.000 0.000 1
Er1 0.000 0.000 0.500 1
Ga1 0.250 0.250 0.250 1
Au1 0.250 0.250 0.750 1
```

Final energy = -73.11 eV for the cell shown
ΔH_f (0 K) = -0.665 eV per atom
Distance to the lowest polymorph of the same formula = 26 meV/atom

Record 8
Density functional theory data (PBE) for PrErGa2Au4 after structural relaxation.

CIF file:
```
data_PrErGa2Au4
_symmetry_space_group_name_H-M 'R -3 m'
_symmetry_Int_Tables_number 166
_symmetry_space_group_name_Hall '-R 3 2"'
_cell_length_a 4.9477
_cell_length_b 4.9477
_cell_length_c 23.7978
_cell_angle_alpha 90.00
_cell_angle_beta 90.00
_cell_angle_gamma 120.00
loop_
_atom_site_label
_atom_site_fract_x
_atom_site_fract_y
_atom_site_fract_z
_atom_site_occupancy
Pr1 0.0000 0.0000 0.0000 1
Er1 0.0000 0.0000 0.5000 1
Ga1 0.0000 0.0000 0.2516 1
Au1 0.0000 0.0000 0.1348 1
Au2 0.0000 0.0000 0.3801 1
```

Final energy = -100.63 eV for the cell shown
ΔH_f (0 K) = -0.630 eV per atom

Record 9
Density functional theory data (PBE) for Er2Ga3Pt4Au after structural relaxation.

CIF file:
```
data_Er2Ga3Pt4Au
_symmetry_space_group_name_H-M 'P -4 m 2'
_symmetry_Int_Tables_number 115
_cell_length_a 3.983
_cell_length_b 3.983
_cell_length_c 11.909
_cell_angle_alpha 90.00
_cell_angle_beta 90.00
_cell_angle_gamma 90.00
loop_
_symmetry_equiv_pos_as_xyz
'x,y,z'
'y,-x,-z'
'-x,-y,z'
'-y,x,-z'
'-x,y,z'
'-y,-x,-z'
'x,-y,z'
'y,x,-z'
loop_
_atom_site_label
_atom_site_fract_x
_atom_site_fract_y
_atom_site_fract_z
_atom_site_occupancy
Er1 0.000 0.500 0.242 1
Ga1 0.000 0.000 0.000 1
Ga2 0.000 0.500 0.630 1
Pt1 0.000 0.000 0.500 1
Pt2 0.000 0.500 0.835 1
Pt3 0.500 0.500 0.500 1
Au1 0.500 0.500 0.000 1
```

Final energy = -54.42 eV for the cell shown
ΔH_f (0 K) = -0.877 eV per atom

Record 10
Density functional theory data (PBE) for ErGaRhAu after structural relaxation.

CIF file:
```
data_ErGaRhAu
_symmetry_space_group_name_H-M 'F -4 3 m'
_symmetry_Int_Tables_number 216
_symmetry_space_group_name_Hall 'F -4 2 3'
_cell_length_a 6.629
_cell_length_b 6.629
_cell_length_c 6.629
_cell_angle_alpha 90.00
_cell_angle_beta 90.00
_cell_angle_gamma 90.00
loop_
_atom_site_label
_atom_site_fract_x
_atom_site_fract_y
_atom_site_fract_z
_atom_site_occupancy
Er1 0.000 0.000 0.000 1
Ga1 0.000 0.000 0.500 1
Rh1 0.250 0.250 0.250 1
Au1 0.250 0.250 0.750 1
```

Final energy = -82.93 eV for the cell shown
ΔH_f (0 K) = -0.628 eV per atom

Record 11
Density functional theory data (PBE) for ErScGa2Au2 after structural relaxation.

CIF file:
```
data_ErScGa2Au2
_symmetry_space_group_name_H-M 'P -3 m 1'
_symmetry_Int_Tables_number 164
_symmetry_space_group_name_Hall '-P 3 2"'
_cell_length_a 4.4816
_cell_length_b 4.4816
_cell_length_c 6.7725
_cell_angle_alpha 90.00
_cell_angle_beta 90.00
_cell_angle_gamma 120.00
loop_
_atom_site_label
_atom_site_fract_x
_atom_site_fract_y
_atom_site_fract_z
_atom_site_occupancy
Er1 0.0000 0.0000 0.0000 1
Sc1 0.0000 0.0000 0.5000 1
Ga1 0.3333 0.6667 0.7246 1
Au1 0.3333 0.6667 0.2714 1
```

Final energy = -28.06 eV for the cell shown
ΔH_f (0 K) = -0.759 eV per atom

Record 12
Density functional theory data (PBE) for SmErGaAu after structural relaxation.

CIF file:
```
data_SmErGaAu
_symmetry_space_group_name_H-M 'F -4 3 m'
_symmetry_Int_Tables_number 216
_symmetry_space_group_name_Hall 'F -4 2 3'
_cell_length_a 7.262
_cell_length_b 7.262
_cell_length_c 7.262
_cell_angle_alpha 90.00
_cell_angle_beta 90.00
_cell_angle_gamma 90.00
loop_
_atom_site_label
_atom_site_fract_x
_atom_site_fract_y
_atom_site_fract_z
_atom_site_occupancy
Sm1 0.000 0.000 0.000 1
Er1 0.000 0.000 0.500 1
Ga1 0.250 0.250 0.250 1
Au1 0.250 0.250 0.750 1
```

Final energy = -73.10 eV for the cell shown
ΔH_f (0 K) = -0.672 eV per atom
Distance to the lowest polymorph of the same formula = 34 meV/atom

Record 13
Density functional theory data (PBE) for SmErGa2Au2 after structural relaxation.

CIF file:
```
data_SmErGa2Au2
_symmetry_space_group_name_H-M 'P -3 m 1'
_symmetry_Int_Tables_number 164
_symmetry_space_group_name_Hall '-P 3 2"'
_cell_length_a 4.5426
_cell_length_b 4.5426
_cell_length_c 7.1999
_cell_angle_alpha 90.00
_cell_angle_beta 90.00
_cell_angle_gamma 120.00
loop_
_atom_site_label
_atom_site_fract_x
_atom_site_fract_y
_atom_site_fract_z
_atom_site_occupancy
Sm1 0.0000 0.0000 0.0000 1
Er1 0.0000 0.0000 0.5000 1
Ga1 0.3333 0.6667 0.7376 1
Au1 0.3333 0.6667 0.2683 1
```

Final energy = -26.59 eV for the cell shown
ΔH_f (0 K) = -0.784 eV per atom

Record 14
Density functional theory data (PBE) for SmErGaAu after structural relaxation.

CIF file:
```
data_SmErGaAu
_symmetry_space_group_name_H-M 'A m m 2'
_symmetry_Int_Tables_number 38
_cell_length_a 4.525
_cell_length_b 3.817
_cell_length_c 11.294
_cell_angle_alpha 90.00
_cell_angle_beta 90.00
_cell_angle_gamma 90.00
loop_
_symmetry_equiv_pos_as_xyz
'x,y,z'
'-x,-y,z'
'-x,y,z'
'x,-y,z'
'x,y+1/2,z+1/2'
'-x,-y+1/2,z+1/2'
'-x,y+1/2,z+1/2'
'x,-y+1/2,z+1/2'
loop_
_atom_site_label
_atom_site_fract_x
_atom_site_fract_y
_atom_site_fract_z
_atom_site_occupancy
Sm1 0.000 0.000 0.000 1
Er1 0.500 0.000 0.286 1
Ga1 0.500 0.000 0.568 1
Au1 0.000 0.000 0.727 1
```

Final energy = -36.82 eV for the cell shown
ΔH_f (0 K) = -0.705 eV per atom
Distance to the lowest polymorph of the same formula = 0 meV/atom

Record 15
Density functional theory data (PBE) for ErGaSnAu after structural relaxation.

CIF file:
```
data_ErGaSnAu
_symmetry_space_group_name_H-M 'F -4 3 m'
_symmetry_Int_Tables_number 216
_symmetry_space_group_name_Hall 'F -4 2 3'
_cell_length_a 7.067
_cell_length_b 7.067
_cell_length_c 7.067
_cell_angle_alpha 90.00
_cell_angle_beta 90.00
_cell_angle_gamma 90.00
loop_
_atom_site_label
_atom_site_fract_x
_atom_site_fract_y
_atom_site_fract_z
_atom_site_occupancy
Er1 0.000 0.000 0.000 1
Ga1 0.250 0.250 0.750 1
Sn1 0.000 0.000 0.500 1
Au1 0.250 0.250 0.250 1
```

Final energy = -66.18 eV for the cell shown
ΔH_f (0 K) = -0.419 eV per atom

Record 16
Density functional theory data (PBE) for SrErGa2Au5 after structural relaxation.

CIF file:
```
data_SrErGa2Au5
_symmetry_space_group_name_H-M 'P 4/m m m'
_symmetry_Int_Tables_number 123
_symmetry_space_group_name_Hall '-P 4 2'
_cell_length_a 5.025
_cell_length_b 5.025
_cell_length_c 8.500
_cell_angle_alpha 90.00
_cell_angle_beta 90.00
_cell_angle_gamma 90.00
loop_
_atom_site_label
_atom_site_fract_x
_atom_site_fract_y
_atom_site_fract_z
_atom_site_occupancy
Sr1 0.000 0.000 0.000 1
Er1 0.000 0.000 0.500 1
Ga1 0.500 0.500 0.303 1
Au1 0.000 0.500 0.309 1
Au2 0.500 0.500 0.000 1
```

Final energy = -32.95 eV for the cell shown
ΔH_f (0 K) = -0.474 eV per atom

Record 17
Density functional theory data (PBE) for TbErGaAu after structural relaxation.

CIF file:
```
data_TbErGaAu
_symmetry_space_group_name_H-M 'A m m 2'
_symmetry_Int_Tables_number 38
_cell_length_a 4.531
_cell_length_b 3.772
_cell_length_c 11.133
_cell_angle_alpha 90.00
_cell_angle_beta 90.00
_cell_angle_gamma 90.00
loop_
_symmetry_equiv_pos_as_xyz
'x,y,z'
'-x,-y,z'
'-x,y,z'
'x,-y,z'
'x,y+1/2,z+1/2'
'-x,-y+1/2,z+1/2'
'-x,y+1/2,z+1/2'
'x,-y+1/2,z+1/2'
loop_
_atom_site_label
_atom_site_fract_x
_atom_site_fract_y
_atom_site_fract_z
_atom_site_occupancy
Tb1 0.000 0.000 0.000 1
Er1 0.500 0.000 0.288 1
Ga1 0.000 0.000 0.728 1
Au1 0.500 0.000 0.567 1
```

Final energy = -36.78 eV for the cell shown
ΔH_f (0 K) = -0.723 eV per atom
Distance to the lowest polymorph of the same formula = 0 meV/atom

Record 18
Density functional theory data (PBE) for TbErGaAu after structural relaxation.

CIF file:
```
data_TbErGaAu
_symmetry_space_group_name_H-M 'F -4 3 m'
_symmetry_Int_Tables_number 216
_symmetry_space_group_name_Hall 'F -4 2 3'
_cell_length_a 7.197
_cell_length_b 7.197
_cell_length_c 7.197
_cell_angle_alpha 90.00
_cell_angle_beta 90.00
_cell_angle_gamma 90.00
loop_
_atom_site_label
_atom_site_fract_x
_atom_site_fract_y
_atom_site_fract_z
_atom_site_occupancy
Tb1 0.000 0.000 0.000 1
Er1 0.000 0.000 0.500 1
Ga1 0.250 0.250 0.250 1
Au1 0.250 0.250 0.750 1
```

Final energy = -73.17 eV for the cell shown
ΔH_f (0 K) = -0.699 eV per atom
Distance to the lowest polymorph of the same formula = 24 meV/atom

Record 19
Density functional theory data (PBE) for ErTlGaAu after structural relaxation.

CIF file:
```
data_ErTlGaAu
_symmetry_space_group_name_H-M 'F -4 3 m'
_symmetry_Int_Tables_number 216
_symmetry_space_group_name_Hall 'F -4 2 3'
_cell_length_a 7.075
_cell_length_b 7.075
_cell_length_c 7.075
_cell_angle_alpha 90.00
_cell_angle_beta 90.00
_cell_angle_gamma 90.00
loop_
_atom_site_label
_atom_site_fract_x
_atom_site_fract_y
_atom_site_fract_z
_atom_site_occupancy
Er1 0.000 0.000 0.000 1
Tl1 0.000 0.000 0.500 1
Ga1 0.250 0.250 0.250 1
Au1 0.250 0.250 0.750 1
```

Final energy = -58.91 eV for the cell shown
ΔH_f (0 K) = -0.373 eV per atom

Record 20
Density functional theory data (PBE) for ErTm2GaAu4 after structural relaxation.

CIF file:
```
data_ErTm2GaAu4
_symmetry_space_group_name_H-M 'R -3 m'
_symmetry_Int_Tables_number 166
_symmetry_space_group_name_Hall '-R 3 2"'
_cell_length_a 4.9240
_cell_length_b 4.9240
_cell_length_c 24.5430
_cell_angle_alpha 90.00
_cell_angle_beta 90.00
_cell_angle_gamma 120.00
loop_
_atom_site_label
_atom_site_fract_x
_atom_site_fract_y
_atom_site_fract_z
_atom_site_occupancy
Er1 0.0000 0.0000 0.0000 1
Tm1 0.0000 0.0000 0.2417 1
Ga1 0.0000 0.0000 0.5000 1
Au1 0.0000 0.0000 0.1200 1
Au2 0.0000 0.0000 0.3676 1
```

Final energy = -107.54 eV for the cell shown
ΔH_f (0 K) = -0.776 eV per atom